# RbBa5Hg4

An optimized crystal structure of RbBa5Hg4 (GGA-PBE, the Alexandria database).

Its energy relative to the elements is -0.41 eV/atom.

The structure belongs to space group P4/mmm (No. 123); the cell edges are 4.253, 4.253 and 24.181 Å and the angles 90.00°, 90.00° and 90.00°. The distinct sites, in fractional coordinates, are Rb at (0.000, 0.000, 0.000), Ba at (0.500, 0.500, 0.158), Ba at (0.500, 0.500, 0.327), Ba at (0.500, 0.500, 0.500), Hg at (0.000, 0.000, 0.236) and Hg at (0.000, 0.000, 0.414).

---

# RbBa2Hg6

An optimized crystal structure of RbBa2Hg6 (GGA-PBE, the Alexandria database).

Its energy relative to the elements is -0.40 eV/atom.

The structure belongs to space group P6/mmm (No. 191); the cell edges are 9.1344, 9.1344 and 4.3356 Å and the angles 90.00°, 90.00° and 120.00°. The distinct sites, in fractional coordinates, are Rb at (0.0000, 0.0000, 0.0000), Ba at (0.3333, 0.6667, 0.0000) and Hg at (0.0000, 0.3337, 0.5000).

---

# RbBaHg14

An optimized crystal structure of RbBaHg14 (GGA-PBE, the Alexandria database).

Its energy relative to the elements is -0.16 eV/atom.

The structure belongs to space group Imma (No. 74); the cell edges are 10.185, 12.732 and 15.929 Å and the angles 90.00°, 90.00° and 90.00°. The distinct sites, in fractional coordinates, are Rb at (0.000, 0.250, 0.203), Ba at (0.250, 0.250, 0.750), Hg at (0.000, 0.093, 0.832), Hg at (0.000, 0.125, 0.623), Hg at (0.000, 0.131, 0.433), Hg at (0.172, 0.132, 0.994) and Hg at (0.235, 0.031, 0.345).

---

# Rb2BaHg10

An optimized crystal structure of Rb2BaHg10 (GGA-PBE, the Alexandria database).

Its energy relative to the elements is -0.15 eV/atom.

The structure belongs to space group Pbam (No. 55); the cell edges are 9.299, 17.662 and 6.365 Å and the angles 90.00°, 90.00° and 90.00°. The distinct sites, in fractional coordinates, are Rb at (0.116, 0.136, 0.000), Ba at (0.000, 0.500, 0.500), Hg at (0.087, 0.846, 0.500), Hg at (0.127, 0.336, 0.233), Hg at (0.147, 0.029, 0.500) and Hg at (0.173, 0.681, 0.500).

---

# RbBa2Hg3

An optimized crystal structure of RbBa2Hg3 (GGA-PBE, the Alexandria database).

Its energy relative to the elements is -0.40 eV/atom.

The structure belongs to space group P4/mmm (No. 123); the cell edges are 4.227, 4.227 and 13.097 Å and the angles 90.00°, 90.00° and 90.00°. The distinct sites, in fractional coordinates, are Rb at (0.000, 0.000, 0.000), Ba at (0.000, 0.000, 0.340), Hg at (0.500, 0.500, 0.192) and Hg at (0.500, 0.500, 0.500).

---

# Rb2BaHg2

An optimized crystal structure of Rb2BaHg2 (GGA-PBE, the Alexandria database).

Its energy relative to the elements is -0.07 eV/atom. The offset from the most stable computed form is 135 meV/atom.

The structure belongs to space group P4/mbm (No. 127); the cell edges are 10.219, 10.219 and 4.203 Å and the angles 90.00°, 90.00° and 90.00°. The distinct sites, in fractional coordinates, are Rb at (0.124, 0.376, 0.000), Ba at (0.000, 0.000, 0.000) and Hg at (0.180, 0.680, 0.500).

---

# RbBaHg

An optimized crystal structure of RbBaHg (GGA-PBE, the Alexandria database).

Its energy relative to the elements is -0.22 eV/atom. The offset from the most stable computed form is 68 meV/atom.

The structure belongs to space group I4mm (No. 107); the cell edges are 4.371, 4.371 and 16.102 Å and the angles 90.00°, 90.00° and 90.00°. The distinct sites, in fractional coordinates, are Rb at (0.000, 0.000, 0.000), Ba at (0.000, 0.000, 0.258) and Hg at (0.000, 0.000, 0.654).

---

# Rb2BaHg9

An optimized crystal structure of Rb2BaHg9 (GGA-PBE, the Alexandria database).

Its energy relative to the elements is -0.23 eV/atom.

The structure belongs to space group R-3m (No. 166, hexagonal axes); the cell edges are 6.3281, 6.3281 and 33.0167 Å and the angles 90.00°, 90.00° and 120.00°. The distinct sites, in fractional coordinates, are Rb at (0.0000, 0.0000, 0.1440), Ba at (0.0000, 0.0000, 0.0000), Hg at (0.0000, 0.0000, 0.3360), Hg at (0.0000, 0.0000, 0.5000) and Hg at (0.0052, 0.5026, 0.9170).

---

# RbBaHg2Rh

An optimized crystal structure of RbBaHg2Rh (GGA-PBE, the Alexandria database).

Its energy relative to the elements is -0.16 eV/atom.

The structure belongs to space group P4/mmm (No. 123); the cell edges are 5.555, 5.555 and 5.568 Å and the angles 90.00°, 90.00° and 90.00°. The distinct sites, in fractional coordinates, are Rb at (0.000, 0.000, 0.000), Ba at (0.500, 0.500, 0.000), Hg at (0.000, 0.500, 0.500) and Rh at (0.500, 0.500, 0.500).

---

# RbBaHgS2

An optimized crystal structure of RbBaHgS2 (GGA-PBE, the Alexandria database).

The uncorrected formation energy is -0.95 eV per atom.

The structure belongs to space group P2/c (No. 13); the cell edges are 7.782, 5.167 and 8.742 Å and the angles 90.00°, 102.24° and 90.00°. The distinct sites, in fractional coordinates, are Rb at (0.000, 0.020, 0.250), Ba at (0.500, 0.300, 0.750), Hg at (0.000, 0.500, 0.000) and S at (0.303, 0.215, 0.037).

---

# RbBaHgSb

An optimized crystal structure of RbBaHgSb (GGA-PBE, the Alexandria database).

The uncorrected formation energy is -0.62 eV per atom.

The structure belongs to space group F-43m (No. 216); the cell edges are 8.522, 8.522 and 8.522 Å and the angles 90.00°, 90.00° and 90.00°. The distinct sites, in fractional coordinates, are Rb at (0.000, 0.000, 0.000), Ba at (0.000, 0.000, 0.500), Hg at (0.250, 0.250, 0.250) and Sb at (0.250, 0.250, 0.750).

---

# RbBaHg2Sb2

An optimized crystal structure of RbBaHg2Sb2 (GGA-PBE, the Alexandria database).

The uncorrected formation energy is -0.51 eV per atom.

The structure belongs to space group P-3m1 (No. 164); the cell edges are 5.1065, 5.1065 and 9.8845 Å and the angles 90.00°, 90.00° and 120.00°. The distinct sites, in fractional coordinates, are Rb at (0.0000, 0.0000, 0.0000), Ba at (0.0000, 0.0000, 0.5000), Hg at (0.3333, 0.6667, 0.2851) and Sb at (0.3333, 0.6667, 0.7311).